[1]
Here is a geometry-optimized ErPuIr structure from the Alexandria database. Energies are from PBE-GGA.

```
ErPuIr
1.0
6.655 0.000 0.000
0.000 7.109 2.235
0.000 1.031 6.569
Ir Pu Er
4 4 4
Cartesian
3.326 5.483 2.495 Ir
0.001 5.998 5.780 Ir
6.654 2.142 3.024 Ir
3.328 2.657 6.309 Ir
5.526 7.281 3.364 Pu
4.456 7.796 6.648 Pu
2.199 0.343 2.156 Pu
1.128 0.859 5.440 Pu
1.664 4.566 7.548 Er
1.663 4.050 4.264 Er
4.991 4.089 4.540 Er
4.991 3.574 1.256 Er
```

Summary:
Calculated volume: 295 Å³/cell
Size of the total moment: 5.906 μB per formula unit
Calculated formation energy: -11.44 kcal/mol of atoms
Energy above the lowest structure with this stoichiometry: 0.0 kJ/mol of formula units
DOS(E_F): 2.75 states/eV per atom

[2]
Here is a geometry-optimized Cs3Ce3CuO8 structure from the Alexandria database. Energies are from PBE-GGA.

```
Cs3Ce3CuO8
1.0
6.990 0.000 0.000
-3.495 6.316 -0.012
0.000 -4.178 6.845
Cs Ce Cu O
3 3 1 8
Cartesian
0.000 0.000 0.000 Cs
-1.748 3.158 -0.006 Cs
1.748 3.158 -0.006 Cs
3.495 -2.089 3.422 Ce
1.748 1.069 3.416 Ce
-1.748 1.069 3.416 Ce
0.000 -2.089 3.422 Cu
0.000 2.135 2.257 O
3.495 0.003 4.576 O
3.495 1.706 2.188 O
0.000 0.433 4.645 O
5.246 -1.008 2.436 O
-1.751 3.147 4.396 O
1.744 -1.008 2.436 O
1.751 3.147 4.396 O
```

Summary:
Calculated volume: 302 Å³/cell
Size of the total moment: 0.258 μB per formula unit
Raw formation energy: -225.5 kJ per mole of atoms
DOS(E_F): 0.29 states/eV per atom

[3]
Here is a geometry-optimized Eu3SbO7 structure from the Alexandria database. Energies are from PBE-GGA.

```
Eu3SbO7
1.0
-3.449 3.507 -4.423
-3.277 -5.520 1.597
-3.534 3.758 5.737
Eu Sb O
6 2 14
Cartesian
-4.207 0.220 5.046 Eu
-6.054 1.525 -2.135 Eu
-7.741 -0.837 3.562 Eu
-2.520 2.583 -0.651 Eu
-5.131 0.873 1.455 Eu
-3.363 -1.006 -1.413 Eu
-8.494 -0.133 0.043 Sb
0.000 0.000 0.000 Sb
-6.038 3.052 2.063 O
-4.223 -1.306 0.848 O
-6.089 5.762 0.256 O
-4.172 -4.016 2.655 O
-7.307 1.478 0.014 O
-1.389 -1.397 0.356 O
-4.764 4.372 4.281 O
-7.063 -0.961 1.171 O
-5.992 0.647 3.667 O
-4.269 1.099 -0.756 O
-8.873 3.143 2.555 O
-2.954 0.268 2.897 O
-3.198 2.708 1.740 O
-5.498 -2.626 -1.370 O
```

Summary:
Calculated volume: 317 Å³/cell
Size of the total moment: 18.000 μB per formula unit
Raw formation energy: -234.0 kJ per mole of atoms
DOS(E_F): 1.12 states/eV per atom

[4]
Here is a geometry-optimized PmDyIrPt structure from the Alexandria database. Energies are from PBE-GGA.

```
PmDyIrPt
1.0
3.892 0.000 0.000
0.000 4.319 0.000
-1.946 0.000 5.399
Pm Dy Ir Pt
1 1 1 1
Cartesian
0.000 0.000 1.562 Pm
1.946 2.160 3.889 Dy
0.000 0.000 4.449 Ir
1.946 2.160 0.898 Pt
```

Summary:
Calculated volume: 91 Å³/cell
Size of the total moment: 0.000 μB per formula unit
Calculated formation energy: -22.33 kcal/mol of atoms
Energy above the lowest structure with this stoichiometry: 0.0 kJ/mol of formula units
DOS(E_F): 0.56 states/eV per atom

[5]
Here is a geometry-optimized NaLiTe2 structure from the Alexandria database. Energies are from PBE-GGA.

```
NaLiTe2
1.0
4.311 0.000 0.000
0.000 5.463 -0.350
0.000 -1.632 5.225
Na Li Te
1 1 2
Cartesian
0.000 5.070 -0.042 Na
2.156 1.526 2.743 Li
2.156 4.257 2.568 Te
2.156 2.342 0.131 Te
```

Summary:
Calculated volume: 121 Å³/cell
Size of the total moment: 0.000 μB per formula unit
Raw formation energy: -61.0 kJ per mole of atoms
Energy above the lowest structure with this stoichiometry: 4.5 kJ/mol of formula units
DOS(E_F): 0.25 states/eV per atom

[6]
Here is a geometry-optimized Tm4CdSn3 structure from the Alexandria database. Energies are from PBE-GGA.

```
Tm4CdSn3
1.0
4.383 0.000 0.000
0.000 4.317 0.000
0.000 0.000 11.316
Tm Cd Sn
4 1 3
Cartesian
2.192 2.159 4.117 Tm
0.000 2.159 9.775 Tm
0.000 0.000 1.534 Tm
2.192 0.000 7.196 Tm
2.192 2.159 0.994 Cd
0.000 2.159 6.734 Sn
0.000 0.000 4.594 Sn
2.192 0.000 10.322 Sn
```

Summary:
Calculated volume: 214 Å³/cell
Size of the total moment: 0.000 μB per formula unit
Calculated formation energy: -12.85 kcal/mol of atoms
DOS(E_F): 0.81 states/eV per atom

[7]
Here is a geometry-optimized SrMg2AgH structure from the Alexandria database. Energies are from PBE-GGA.

```
SrMg2AgH
1.0
-0.627 -1.935 -4.143
2.437 -3.680 1.350
-4.148 -2.149 1.631
Sr Mg Ag H
1 2 1 1
Cartesian
-2.074 -1.074 0.816 Sr
1.219 -1.840 0.675 Mg
-0.314 -0.968 -2.072 Mg
-1.169 -3.882 -0.581 Ag
0.000 0.000 0.000 H
```

Summary:
Calculated volume: 105 Å³/cell
Calculated total energy: -2.302 eV per atom
Size of the total moment: 0.000 μB per formula unit
DOS(E_F): 0.28 states/eV per atom

[8]
Here is a geometry-optimized LiCr3Ir structure from the Alexandria database. Energies are from PBE-GGA.

```
LiCr3Ir
1.0
-2.466 -4.072 -0.639
1.170 0.022 -4.658
3.952 -2.547 0.981
Cr Ir Li
3 1 1
Cartesian
0.585 0.011 -2.329 Cr
1.976 -1.274 0.490 Cr
-1.233 -2.036 -0.319 Cr
0.000 0.000 0.000 Ir
1.328 -3.298 -2.158 Li
```

Summary:
Calculated volume: 111 Å³/cell
Size of the total moment: 10.545 μB per formula unit
Calculated formation energy: 23.98 kcal/mol of atoms
Energy above the lowest structure with this stoichiometry: 0.0 kJ/mol of formula units
DOS(E_F): 1.05 states/eV per atom

[9]
Here is a geometry-optimized MgVCd2 structure from the Alexandria database. Energies are from PBE-GGA.

```
MgVCd2
1.0
-4.628 -0.181 6.170
-5.617 -3.075 -4.304
-4.142 -4.336 1.589
Mg Cd V
2 4 2
Cartesian
-5.122 -1.628 0.933 Mg
-7.441 -4.519 -0.891 Mg
-4.649 -1.582 3.740 Cd
-5.106 -3.028 -1.546 Cd
-6.926 -4.461 1.909 Cd
-12.093 -6.113 2.808 Cd
0.000 0.000 0.000 V
-6.947 -3.073 4.346 V
```

Summary:
Calculated volume: 176 Å³/cell
Size of the total moment: 3.101 μB per formula unit
Calculated formation energy: 11.36 kcal/mol of atoms
DOS(E_F): 0.37 states/eV per atom

[10]
Here is a geometry-optimized AcGe2 structure from the Alexandria database. Energies are from PBE-GGA.

```
AcGe2
1.0
-4.185 -0.681 1.579
0.831 -4.448 0.029
3.900 4.096 2.668
Ac Ge
1 2
Cartesian
-1.677 -2.564 0.804 Ac
0.519 0.238 1.102 Ge
0.027 -1.270 3.174 Ge
```

Summary:
Calculated volume: 84 Å³/cell
Size of the total moment: 0.000 μB per formula unit
Calculated formation energy: -11.19 kcal/mol of atoms
Energy above the lowest structure with this stoichiometry: 36.4 kJ/mol of formula units
DOS(E_F): 0.61 states/eV per atom

[11]
Here is a geometry-optimized SmMg4Au4 structure from the Alexandria database. Energies are from PBE-GGA.

```
SmMg4Au4
1.0
6.971 0.000 0.000
0.000 6.971 0.000
0.000 0.000 8.275
Sm Mg Au
2 8 8
Cartesian
0.000 0.000 0.000 Sm
3.485 3.485 4.137 Sm
1.756 3.485 7.301 Mg
5.215 3.485 7.301 Mg
3.485 5.215 0.974 Mg
3.485 1.756 0.974 Mg
0.000 5.241 3.164 Mg
0.000 1.730 3.164 Mg
1.730 0.000 5.111 Mg
5.241 0.000 5.111 Mg
3.485 5.488 6.540 Au
3.485 1.483 6.540 Au
5.488 3.485 1.735 Au
1.483 3.485 1.735 Au
2.002 0.000 2.403 Au
4.969 0.000 2.403 Au
0.000 2.002 5.872 Au
0.000 4.969 5.872 Au
```

Summary:
Calculated volume: 402 Å³/cell
Size of the total moment: 0.000 μB per formula unit
Calculated formation energy: -11.25 kcal/mol of atoms
DOS(E_F): 0.32 states/eV per atom

[12]
Here is a geometry-optimized SmZn3Ir3 structure from the Alexandria database. Energies are from PBE-GGA.

```
SmZn3Ir3
1.0
6.729 0.000 0.000
0.000 6.729 0.000
0.000 0.000 6.729
Zn Ir Sm
6 6 2
Cartesian
0.000 1.682 3.365 Zn
0.000 5.047 3.365 Zn
3.365 0.000 5.047 Zn
5.047 3.365 0.000 Zn
3.365 0.000 1.682 Zn
1.682 3.365 0.000 Zn
1.682 0.000 3.365 Ir
0.000 3.365 1.682 Ir
3.365 5.047 0.000 Ir
5.047 0.000 3.365 Ir
0.000 3.365 5.047 Ir
3.365 1.682 0.000 Ir
3.365 3.365 3.365 Sm
0.000 0.000 0.000 Sm
```

Summary:
Calculated volume: 305 Å³/cell
Size of the total moment: 0.000 μB per formula unit
Calculated formation energy: 11.42 kcal/mol of atoms
DOS(E_F): 0.29 states/eV per atom

[13]
Here is a geometry-optimized CdBi2Au7 structure from the Alexandria database. Energies are from PBE-GGA.

```
CdBi2Au7
1.0
3.971 0.000 0.000
0.000 3.971 0.000
0.000 0.000 13.948
Cd Bi Au
1 2 7
Cartesian
1.986 1.986 0.000 Cd
1.986 0.000 10.396 Bi
0.000 1.986 3.552 Bi
0.000 1.986 11.836 Au
1.986 0.000 4.889 Au
1.986 0.000 2.112 Au
0.000 1.986 9.059 Au
0.000 0.000 6.974 Au
0.000 0.000 0.000 Au
1.986 1.986 6.974 Au
```

Summary:
Calculated volume: 220 Å³/cell
Size of the total moment: 0.000 μB per formula unit
Calculated formation energy: -0.03 kcal/mol of atoms
DOS(E_F): 0.25 states/eV per atom

[14]
Here is a geometry-optimized TaP2BrCl structure from the Alexandria database. Energies are from PBE-GGA.

```
TaP2BrCl
1.0
-2.218 -3.444 -2.683
4.365 -1.784 -1.319
-0.049 -2.939 3.814
P Cl Br Ta
2 1 1 1
Cartesian
2.183 -0.892 -0.659 P
-1.109 -1.722 -1.341 P
-0.025 -1.470 1.907 Cl
1.049 -4.084 -0.094 Br
0.000 0.000 0.000 Ta
```

Summary:
Calculated volume: 115 Å³/cell
Size of the total moment: 0.000 μB per formula unit
Raw formation energy: 9.4 kJ per mole of atoms
Energy above the lowest structure with this stoichiometry: 0.0 kJ/mol of formula units
DOS(E_F): 0.95 states/eV per atom

[15]
Here is a geometry-optimized Pm2TmAlO6 structure from the Alexandria database. Energies are from PBE-GGA.

```
Pm2TmAlO6
1.0
-0.404 -4.523 1.977
4.946 0.432 2.000
-1.999 2.137 4.481
Pm Tm Al O
2 1 1 6
Cartesian
2.472 0.204 1.005 Pm
-1.000 1.056 2.246 Pm
1.242 -1.302 4.371 Tm
-0.242 -2.704 1.182 Al
0.399 -2.668 2.950 O
-0.662 -1.534 5.329 O
1.415 0.631 3.526 O
-0.095 -1.059 0.463 O
1.964 -1.304 6.390 O
3.024 -2.439 4.011 O
```

Summary:
Calculated volume: 142 Å³/cell
Size of the total moment: 0.000 μB per formula unit
Raw formation energy: -311.2 kJ per mole of atoms
DOS(E_F): 0.00 states/eV per atom

[16]
Here is a geometry-optimized In6Ga3Sn structure from the Alexandria database. Energies are from PBE-GGA.

```
In6Ga3Sn
1.0
-6.437 2.263 1.024
-3.194 -6.452 -5.821
0.642 -2.228 8.963
In Ga Sn
12 6 2
Cartesian
-2.770 -5.866 1.927 In
-5.778 -4.502 3.253 In
-2.797 -4.787 5.489 In
-7.549 -5.344 0.091 In
-4.772 -5.695 -5.012 In
-4.718 -1.968 5.329 In
-3.099 -4.861 -1.349 In
-4.432 -0.646 9.212 In
-1.680 -0.988 4.113 In
-6.432 -1.545 -1.285 In
-1.759 -2.425 0.682 In
-4.766 -1.061 2.008 In
-5.411 -6.985 1.270 Ga
-7.668 -4.794 5.489 Ga
-3.173 -3.229 3.101 Ga
-7.003 -2.771 1.254 Ga
-5.856 1.369 3.258 Ga
-3.600 -0.822 -0.961 Ga
-0.389 -2.881 6.320 Sn
-6.045 -4.434 -2.561 Sn
```

Summary:
Calculated volume: 524 Å³/cell
Size of the total moment: 0.000 μB per formula unit
Calculated formation energy: 1.45 kcal/mol of atoms
Energy above the lowest structure with this stoichiometry: 18.9 kJ/mol of formula units
DOS(E_F): 0.32 states/eV per atom

[17]
Here is a geometry-optimized AgPCl structure from the Alexandria database. Energies are from PBE-GGA.

```
AgPCl
1.0
-2.586 3.229 -1.854
-1.271 -0.327 -4.339
-4.326 -0.876 -1.035
Ag Cl P
1 1 1
Cartesian
-6.137 1.519 -5.421 Ag
0.000 0.000 0.000 Cl
-4.091 1.013 -3.614 P
```

Summary:
Calculated volume: 66 Å³/cell
Size of the total moment: 1.349 μB per formula unit
Raw formation energy: 64.3 kJ per mole of atoms
Energy above the lowest structure with this stoichiometry: 194.9 kJ/mol of formula units
DOS(E_F): 1.05 states/eV per atom

[18]
Here is a geometry-optimized Nb3Mo2Os structure from the Alexandria database. Energies are from PBE-GGA.

```
Nb3Mo2Os
1.0
3.207 0.000 0.000
0.000 4.331 -1.434
0.000 -0.019 7.200
Nb Mo Os
3 2 1
Cartesian
1.603 2.165 -0.717 Nb
1.603 3.595 3.601 Nb
1.603 0.717 2.165 Nb
0.000 1.438 4.344 Mo
0.000 2.874 1.423 Mo
0.000 0.000 0.000 Os
```

Summary:
Calculated volume: 100 Å³/cell
Size of the total moment: 0.000 μB per formula unit
Calculated formation energy: -5.03 kcal/mol of atoms
Energy above the lowest structure with this stoichiometry: 0.0 kJ/mol of formula units
DOS(E_F): 0.58 states/eV per atom

[19]
Here is a geometry-optimized Na2MgSn structure from the Alexandria database. Energies are from PBE-GGA.

```
Na2MgSn
1.0
-6.684 3.407 4.708
1.122 -6.284 6.140
-0.852 0.330 6.882
Na Mg Sn
4 2 2
Cartesian
-4.326 1.465 5.484 Na
-0.271 -3.458 6.093 Na
-2.737 -0.759 9.160 Na
-5.492 -2.341 14.724 Na
-2.781 -1.439 5.424 Mg
-1.255 -3.696 9.223 Mg
0.000 0.000 0.000 Sn
-5.158 1.149 8.507 Sn
```

Summary:
Calculated volume: 235 Å³/cell
Size of the total moment: 0.000 μB per formula unit
Calculated formation energy: 2.37 kcal/mol of atoms
DOS(E_F): 0.23 states/eV per atom

[20]
Here is a geometry-optimized PaSiAgO6 structure from the Alexandria database. Energies are from PBE-GGA.

```
PaSiAgO6
1.0
4.707 0.000 0.000
0.000 5.143 0.000
0.000 -2.572 4.454
Pa Si Ag O
1 1 1 6
Cartesian
0.000 0.000 2.969 Pa
2.354 0.000 0.000 Si
2.354 2.572 1.485 Ag
3.413 1.781 3.211 O
3.413 -1.100 4.391 O
3.413 -0.681 1.306 O
1.295 0.681 1.306 O
1.295 1.100 4.391 O
1.295 -1.781 3.211 O
```

Summary:
Calculated volume: 108 Å³/cell
Size of the total moment: 1.969 μB per formula unit
Raw formation energy: -202.9 kJ per mole of atoms
DOS(E_F): 0.24 states/eV per atom